DFT (PBE) results for a relaxed Ac2CeTe4 crystal.

For the energy above the most stable polymorph in this dataset, the calculation gives 0 meV/atom. The volume comes out at 34.259 Å³ per atom. Its raw total energy is -5.33 eV/atom. As for the formation energy (no corrections): -1.511 eV/atom.

The space group is I-42d (No. 122) and the conventional cell measures 9.851, 9.851 and 9.885 Å, with angles of 90.00, 90.00 and 90.00 degrees. The distinct sites, in fractional coordinates, are Ac at (0.122, 0.750, 0.125), Ce at (0.000, 0.000, 0.500) and Te at (0.075, 0.677, 0.455).


DFT (PBE) results for a relaxed Ac3Ce2Te8 crystal.

The volume comes out at 37.401 Å³ per atom. Its raw total energy is -5.11 eV/atom. As for the formation energy (no corrections): -1.313 eV/atom.

The space group is Cmmm (No. 65) and the conventional cell measures 11.179, 15.734 and 5.528 Å, with angles of 90.00, 90.00 and 90.00 degrees. The distinct sites, in fractional coordinates, are Ac at (0.000, 0.000, 0.000), Ac at (0.221, 0.500, 0.500), Ce at (0.000, 0.262, 0.000), Te at (0.000, 0.123, 0.500), Te at (0.000, 0.362, 0.500) and Te at (0.243, 0.130, 0.000).


DFT (PBE) results for a relaxed Ac3Ce5Te8 crystal.

The volume comes out at 30.873 Å³ per atom. Its raw total energy is -5.47 eV/atom. As for the formation energy (no corrections): -1.276 eV/atom.

The space group is R-3m (No. 166, hexagonal axes) and the conventional cell measures 11.1714, 11.1714 and 13.7112 Å, with angles of 90.00, 90.00 and 120.00 degrees. The distinct sites, in fractional coordinates, are Ac at (0.0000, 0.5000, 0.0000), Ce at (0.0000, 0.0000, 0.0000), Ce at (0.0000, 0.0000, 0.5000), Ce at (0.0000, 0.5000, 0.5000), Te at (0.0000, 0.0000, 0.2463) and Te at (0.0046, 0.5023, 0.7489).


DFT (PBE) results for a relaxed AcCeTe3 crystal.

For the energy above the most stable polymorph in this dataset, the calculation gives 38 meV/atom. The volume comes out at 36.129 Å³ per atom. Its raw total energy is -5.34 eV/atom. As for the formation energy (no corrections): -1.450 eV/atom.

The space group is Pmmn (No. 59, origin choice 2) and the conventional cell measures 4.639, 7.684 and 10.135 Å, with angles of 90.00, 90.00 and 90.00 degrees. The distinct sites, in fractional coordinates, are Ac at (0.250, 0.250, 0.153), Ce at (0.250, 0.750, 0.400), Te at (0.250, 0.518, 0.667) and Te at (0.250, 0.750, 0.076).


DFT (PBE) results for a relaxed Ac2CeTl3Te6 crystal.

The volume comes out at 39.823 Å³ per atom. Its raw total energy is -4.44 eV/atom. As for the formation energy (no corrections): -1.093 eV/atom.

The space group is C2/m (No. 12) and the conventional cell measures 8.227, 14.244 and 8.604 Å, with angles of 90.00, 108.58 and 90.00 degrees. The distinct sites, in fractional coordinates, are Ac at (0.000, 0.166, 0.000), Ce at (0.000, 0.500, 0.000), Tl at (0.000, 0.000, 0.500), Tl at (0.000, 0.331, 0.500), Te at (0.236, 0.338, 0.224) and Te at (0.247, 0.500, 0.773).


DFT (PBE) results for a relaxed Ac2Ce3YTe6 crystal.

The volume comes out at 33.462 Å³ per atom. Its raw total energy is -5.66 eV/atom. As for the formation energy (no corrections): -1.386 eV/atom.

The space group is C2/m (No. 12) and the conventional cell measures 7.862, 13.633 and 7.942 Å, with angles of 90.00, 109.38 and 90.00 degrees. The distinct sites, in fractional coordinates, are Ac at (0.000, 0.165, 0.000), Ce at (0.000, 0.000, 0.500), Ce at (0.000, 0.325, 0.500), Y at (0.000, 0.500, 0.000), Te at (0.230, 0.500, 0.738) and Te at (0.243, 0.341, 0.253).


DFT (PBE) results for a relaxed Ac3CeY2Te6 crystal.

The volume comes out at 33.761 Å³ per atom. Its raw total energy is -5.58 eV/atom. As for the formation energy (no corrections): -1.406 eV/atom.

The space group is C2/m (No. 12) and the conventional cell measures 20.092, 4.495 and 9.299 Å, with angles of 90.00, 105.24 and 90.00 degrees. The distinct sites, in fractional coordinates, are Ac at (0.000, 0.000, 0.000), Ac at (0.163, 0.500, 0.331), Ce at (0.000, 0.000, 0.500), Y at (0.166, 0.500, 0.831), Te at (0.007, 0.500, 0.743), Te at (0.165, 0.000, 0.599) and Te at (0.173, 0.000, 0.068).


DFT (PBE) results for a relaxed Ac2CeTh crystal.

As for the energy of formation: 174 meV/atom. For the energy above the most stable polymorph in this dataset, the calculation gives 0 meV/atom. The volume comes out at 36.779 Å³ per atom. Its raw total energy is -5.22 eV/atom.

The space group is P4/mmm (No. 123) and the conventional cell measures 5.279, 5.279 and 5.279 Å, with angles of 90.00, 90.00 and 90.00 degrees. The distinct sites, in fractional coordinates, are Ac at (0.000, 0.500, 0.000), Ce at (0.000, 0.000, 0.500) and Th at (0.500, 0.500, 0.500).


DFT (PBE) results for a relaxed Ac2CeTh crystal.

As for the energy of formation: 339 meV/atom. For the energy above the most stable polymorph in this dataset, the calculation gives 164 meV/atom. The volume comes out at 37.907 Å³ per atom. Its raw total energy is -5.05 eV/atom.

The space group is R-3m (No. 166, hexagonal axes) and the conventional cell measures 3.6655, 3.6655 and 39.0930 Å, with angles of 90.00, 90.00 and 120.00 degrees. The distinct sites, in fractional coordinates, are Ac at (0.0000, 0.0000, 0.0902), Ce at (0.0000, 0.0000, 0.5000) and Th at (0.0000, 0.0000, 0.0000).


DFT (PBE) results for a relaxed AcCeTh2 crystal.

As for the energy of formation: 326 meV/atom. For the energy above the most stable polymorph in this dataset, the calculation gives 190 meV/atom. The volume comes out at 34.063 Å³ per atom. Its raw total energy is -5.89 eV/atom.

The space group is Fm-3m (No. 225) and the conventional cell measures 8.168, 8.168 and 8.168 Å, with angles of 90.00, 90.00 and 90.00 degrees. The distinct sites, in fractional coordinates, are Ac at (0.000, 0.000, 0.000), Ce at (0.000, 0.000, 0.500) and Th at (0.250, 0.250, 0.250).


DFT (PBE) results for a relaxed AcCeTh2 crystal.

As for the energy of formation: 199 meV/atom. For the energy above the most stable polymorph in this dataset, the calculation gives 64 meV/atom. The volume comes out at 34.273 Å³ per atom. Its raw total energy is -6.02 eV/atom.

The space group is P4/mmm (No. 123) and the conventional cell measures 4.200, 4.200 and 7.771 Å, with angles of 90.00, 90.00 and 90.00 degrees. The distinct sites, in fractional coordinates, are Ac at (0.000, 0.000, 0.000), Ce at (0.000, 0.000, 0.500) and Th at (0.500, 0.500, 0.290).


DFT (PBE) results for a relaxed AcCeTh crystal.

As for the energy of formation: 137 meV/atom. For the energy above the most stable polymorph in this dataset, the calculation gives 0 meV/atom. The volume comes out at 34.753 Å³ per atom. Its raw total energy is -5.68 eV/atom.

The space group is I4mm (No. 107) and the conventional cell measures 3.644, 3.644 and 15.703 Å, with angles of 90.00, 90.00 and 90.00 degrees. The distinct sites, in fractional coordinates, are Ac at (0.000, 0.000, 0.000), Ce at (0.000, 0.000, 0.680) and Th at (0.000, 0.000, 0.329).


DFT (PBE) results for a relaxed AcCe4Th crystal.

As for the energy of formation: 190 meV/atom. The volume comes out at 30.394 Å³ per atom. Its raw total energy is -5.69 eV/atom.

The space group is F-43m (No. 216) and the conventional cell measures 9.002, 9.002 and 9.002 Å, with angles of 90.00, 90.00 and 90.00 degrees. The distinct sites, in fractional coordinates, are Ac at (0.000, 0.000, 0.000), Ce at (0.121, 0.121, 0.379) and Th at (0.250, 0.250, 0.750).


DFT (PBE) results for a relaxed AcCeTh2 crystal.

As for the energy of formation: 276 meV/atom. For the energy above the most stable polymorph in this dataset, the calculation gives 141 meV/atom. The volume comes out at 34.921 Å³ per atom. Its raw total energy is -5.94 eV/atom.

The space group is R-3m (No. 166, hexagonal axes) and the conventional cell measures 3.5717, 3.5717 and 37.9300 Å, with angles of 90.00, 90.00 and 120.00 degrees. The distinct sites, in fractional coordinates, are Ac at (0.0000, 0.0000, 0.0000), Ce at (0.0000, 0.0000, 0.5000) and Th at (0.0000, 0.0000, 0.0925).


DFT (PBE) results for a relaxed AcCeTh crystal.

As for the energy of formation: 233 meV/atom. For the energy above the most stable polymorph in this dataset, the calculation gives 96 meV/atom. The volume comes out at 35.698 Å³ per atom. Its raw total energy is -5.59 eV/atom.

The space group is R-3m (No. 166, hexagonal axes) and the conventional cell measures 3.6270, 3.6270 and 56.4004 Å, with angles of 90.00, 90.00 and 120.00 degrees. The distinct sites, in fractional coordinates, are Ac at (0.0000, 0.0000, 0.1958), Ce at (0.0000, 0.0000, 0.2567) and Th at (0.0000, 0.0000, 0.3593).


DFT (PBE) results for a relaxed AcCeTh2 crystal.

As for the energy of formation: 135 meV/atom. For the energy above the most stable polymorph in this dataset, the calculation gives 0 meV/atom. The volume comes out at 33.229 Å³ per atom. Its raw total energy is -6.09 eV/atom.

The space group is P4/mmm (No. 123) and the conventional cell measures 5.065, 5.065 and 5.181 Å, with angles of 90.00, 90.00 and 90.00 degrees. The distinct sites, in fractional coordinates, are Ac at (0.000, 0.000, 0.000), Ce at (0.500, 0.500, 0.000) and Th at (0.000, 0.500, 0.500).


DFT (PBE) results for a relaxed AcCeTh crystal.

As for the energy of formation: 144 meV/atom. For the energy above the most stable polymorph in this dataset, the calculation gives 6 meV/atom. The volume comes out at 34.672 Å³ per atom. Its raw total energy is -5.68 eV/atom.

The space group is P3m1 (No. 156) and the conventional cell measures 3.6572, 3.6572 and 8.9798 Å, with angles of 90.00, 90.00 and 120.00 degrees. The distinct sites, in fractional coordinates, are Ac at (0.0000, 0.0000, 0.0000), Ce at (0.6667, 0.3333, 0.3481) and Th at (0.3333, 0.6667, 0.6569).


DFT (PBE) results for a relaxed AcCeThTl crystal.

As for the energy of formation: 148 meV/atom. The volume comes out at 32.288 Å³ per atom. Its raw total energy is -4.81 eV/atom.

The space group is F-43m (No. 216) and the conventional cell measures 8.024, 8.024 and 8.024 Å, with angles of 90.00, 90.00 and 90.00 degrees. The distinct sites, in fractional coordinates, are Ac at (0.000, 0.000, 0.000), Ce at (0.250, 0.250, 0.250), Th at (0.250, 0.250, 0.750) and Tl at (0.000, 0.000, 0.500).


DFT (PBE) results for a relaxed AcCeTmTh crystal.

As for the energy of formation: 238 meV/atom. The volume comes out at 33.902 Å³ per atom. Its raw total energy is -5.25 eV/atom.

The space group is F-43m (No. 216) and the conventional cell measures 8.155, 8.155 and 8.155 Å, with angles of 90.00, 90.00 and 90.00 degrees. The distinct sites, in fractional coordinates, are Ac at (0.000, 0.000, 0.000), Ce at (0.250, 0.250, 0.250), Tm at (0.250, 0.250, 0.750) and Th at (0.000, 0.000, 0.500).


DFT (PBE) results for a relaxed Ac2CeTi crystal.

As for the energy of formation: 651 meV/atom. The volume comes out at 34.453 Å³ per atom. Its raw total energy is -4.86 eV/atom.

The space group is R-3m (No. 166, hexagonal axes) and the conventional cell measures 3.5887, 3.5887 and 37.0688 Å, with angles of 90.00, 90.00 and 120.00 degrees. The distinct sites, in fractional coordinates, are Ac at (0.0000, 0.0000, 0.0844), Ce at (0.0000, 0.0000, 0.5000) and Ti at (0.0000, 0.0000, 0.0000).


DFT (PBE) results for a relaxed AcCe2Ti crystal.

As for the energy of formation: 434 meV/atom. The volume comes out at 29.210 Å³ per atom. Its raw total energy is -5.53 eV/atom.

The space group is R-3m (No. 166, hexagonal axes) and the conventional cell measures 3.3739, 3.3739 and 35.5568 Å, with angles of 90.00, 90.00 and 120.00 degrees. The distinct sites, in fractional coordinates, are Ac at (0.0000, 0.0000, 0.0000), Ce at (0.0000, 0.0000, 0.0964) and Ti at (0.0000, 0.0000, 0.5000).


DFT (PBE) results for a relaxed Ac6CeTl5 crystal.

As for the energy of formation: -140 meV/atom. The volume comes out at 37.803 Å³ per atom. Its raw total energy is -3.67 eV/atom.

The space group is C2/m (No. 12) and the conventional cell measures 10.904, 12.353 and 6.894 Å, with angles of 90.00, 102.33 and 90.00 degrees. The distinct sites, in fractional coordinates, are Ac at (0.213, 0.000, 0.211), Ac at (0.220, 0.181, 0.728), Ce at (0.000, 0.500, 0.000), Tl at (0.000, 0.000, 0.500), Tl at (0.000, 0.222, 0.000) and Tl at (0.000, 0.373, 0.500).


DFT (PBE) results for a relaxed AcCe2Tl2 crystal.

As for the energy of formation: -174 meV/atom. The volume comes out at 32.575 Å³ per atom. Its raw total energy is -4.32 eV/atom.

The space group is P6_3/mmc (No. 194) and the conventional cell measures 5.1118, 5.1118 and 14.3949 Å, with angles of 90.00, 90.00 and 120.00 degrees. The distinct sites, in fractional coordinates, are Ac at (0.3333, 0.6667, 0.2500), Ce at (0.3333, 0.6667, 0.5316) and Tl at (0.0000, 0.0000, 0.1181).


DFT (PBE) results for a relaxed Ac2CeTl crystal.

As for the energy of formation: 203 meV/atom. For the energy above the most stable polymorph in this dataset, the calculation gives 259 meV/atom. The volume comes out at 38.136 Å³ per atom. Its raw total energy is -3.93 eV/atom.

The space group is R-3m (No. 166, hexagonal axes) and the conventional cell measures 3.7255, 3.7255 and 38.0723 Å, with angles of 90.00, 90.00 and 120.00 degrees. The distinct sites, in fractional coordinates, are Ac at (0.0000, 0.0000, 0.0929), Ce at (0.0000, 0.0000, 0.0000) and Tl at (0.0000, 0.0000, 0.5000).


DFT (PBE) results for a relaxed AcCeTl6 crystal.

As for the energy of formation: -272 meV/atom. The volume comes out at 29.854 Å³ per atom. Its raw total energy is -3.30 eV/atom.

The space group is P4/mmm (No. 123) and the conventional cell measures 4.925, 4.925 and 9.845 Å, with angles of 90.00, 90.00 and 90.00 degrees. The distinct sites, in fractional coordinates, are Ac at (0.000, 0.000, 0.000), Ce at (0.000, 0.000, 0.500), Tl at (0.000, 0.500, 0.259), Tl at (0.500, 0.500, 0.000) and Tl at (0.500, 0.500, 0.500).


DFT (PBE) results for a relaxed Ac2Ce2Tl3 crystal.

As for the energy of formation: -219 meV/atom. The volume comes out at 31.788 Å³ per atom. Its raw total energy is -4.10 eV/atom.

The space group is Cmmm (No. 65) and the conventional cell measures 4.517, 26.344 and 3.740 Å, with angles of 90.00, 90.00 and 90.00 degrees. The distinct sites, in fractional coordinates, are Ac at (0.000, 0.078, 0.000), Ce at (0.000, 0.218, 0.000), Tl at (0.000, 0.342, 0.500) and Tl at (0.000, 0.500, 0.500).